1.
Computed, not measured: an optimized crystal structure of PuNp2ScS4 at the PBE-GGA level of DFT.

CIF file:
```
data_PuNp2ScS4
_chemical_formula_sum 'Pu1 Np2 Sc1 S4'
_space_group_name_H-M_alt 'P 1'
_space_group_IT_number 1
_cell_length_a 6.6649
_cell_length_b 3.8419
_cell_length_c 6.7259
_cell_angle_alpha 90.00
_cell_angle_beta 109.17
_cell_angle_gamma 90.00
loop_
_space_group_symop_operation_xyz
'x,y,z'
loop_
_atom_site_label
_atom_site_type_symbol
_atom_site_fract_x
_atom_site_fract_y
_atom_site_fract_z
Pu1 Pu 0.0000 0.0000 0.0000
Np1 Np 0.0000 0.5000 0.5000
Np2 Np 0.5000 0.0000 0.5000
Sc1 Sc 0.5000 0.5000 0.0000
S1 S 0.2568 0.5000 0.2453
S2 S 0.2620 0.0000 0.7598
S3 S 0.7380 0.0000 0.2402
S4 S 0.7432 0.5000 0.7547
```


2.
Computed, not measured: an optimized crystal structure of TbPuNp2S4 at the PBE-GGA level of DFT.

CIF file:
```
data_TbPuNp2S4
_chemical_formula_sum 'Tb1 Pu1 Np2 S4'
_space_group_name_H-M_alt 'P 1'
_space_group_IT_number 1
_cell_length_a 6.7820
_cell_length_b 3.9239
_cell_length_c 6.8084
_cell_angle_alpha 90.00
_cell_angle_beta 109.40
_cell_angle_gamma 90.00
loop_
_space_group_symop_operation_xyz
'x,y,z'
loop_
_atom_site_label
_atom_site_type_symbol
_atom_site_fract_x
_atom_site_fract_y
_atom_site_fract_z
Tb1 Tb 0.0000 0.0000 0.0000
Pu1 Pu 0.0000 0.5000 0.5000
Np1 Np 0.5000 0.0000 0.5000
Np2 Np 0.5000 0.5000 0.0000
S1 S 0.2528 0.5000 0.2515
S2 S 0.2538 0.0000 0.7500
S3 S 0.7462 0.0000 0.2500
S4 S 0.7472 0.5000 0.7485
```


3.
Computed, not measured: an optimized crystal structure of PuNp2Tl2S6 at the PBE-GGA level of DFT.

CIF file:
```
data_PuNp2Tl2S6
_chemical_formula_sum 'Pu1 Np2 Tl2 S6'
_space_group_name_H-M_alt 'P 1'
_space_group_IT_number 1
_cell_length_a 6.9888
_cell_length_b 6.9888
_cell_length_c 7.8427
_cell_angle_alpha 98.39
_cell_angle_beta 98.39
_cell_angle_gamma 120.05
loop_
_space_group_symop_operation_xyz
'x,y,z'
loop_
_atom_site_label
_atom_site_type_symbol
_atom_site_fract_x
_atom_site_fract_y
_atom_site_fract_z
Pu1 Pu 0.0000 0.0000 0.0000
Np1 Np 0.3340 0.6660 0.0000
Np2 Np 0.6660 0.3340 0.0000
Tl1 Tl 0.1654 0.8346 0.5000
Tl2 Tl 0.8346 0.1654 0.5000
S1 S 0.0603 0.4003 0.1903
S2 S 0.2738 0.2738 0.8095
S3 S 0.4003 0.0603 0.1903
S4 S 0.5997 0.9397 0.8097
S5 S 0.7262 0.7262 0.1905
S6 S 0.9397 0.5997 0.8097
```


One value per record, in order, for formation energy (no corrections): -12.572, -13.093, -13.173 eV per formula unit.
One value per record, in order, for D(E_F): 23.7, 20.2, 27.8 states/eV/cell.